CaTb4Sm: optimized geometry, GGA-PBE.

Lattice parameters (Å, degrees): 17.6038 3.6343 6.3152 90.00 96.82 90.00
Closest atoms and distances in Å follow each position.
Space group C2/m (No. 12)
Inequivalent atoms, fractional coordinates:
Ca1 0.0000 0.0000 0.0000 x2  6 Tb 3.63-3.67, 2 Ca 3.63, 4 Sm 3.64
Tb1 0.1683 0.0000 0.3931 x4  9 Tb 3.50-3.68, 2 Sm 3.61, 1 Ca 3.63
Tb2 0.1719 0.5000 0.8870 x4  9 Tb 3.46-3.68, 1 Sm 3.66, 2 Ca 3.67
Sm1 0.0000 0.5000 0.5000 x2  6 Tb 3.61-3.66, 2 Sm 3.63, 4 Ca 3.64

Output
Total magnetization ... 0.000 Bohr magnetons per cell
Energy of formation ... 1.117 kcal/mol of atoms
E ... -4.159 eV/atom
E above lowest polymorph ... 0.000 eV/f.u.
Crystal system ... monoclinic

***

Th4TePtSe2: optimized geometry, GGA-PBE.

Lattice parameters (Å, degrees): 7.3993 4.2065 7.6436 90.00 108.69 90.00
Closest atoms and distances in Å follow each position.
Space group P2/m (No. 10)
Inequivalent atoms, fractional coordinates:
Th1 0.2370 0.0000 0.2303 x2  3 Se 2.94-3.11, 1 Pt 3.01, 2 Te 3.14
Th2 0.2614 0.5000 0.7752 x2  2 Pt 2.92, 3 Se 2.97-3.16, 1 Te 3.15
Te1 0.5000 0.5000 0.5000 x1  6 Th 3.14-3.15
Pt1 0.5000 0.0000 0.0000 x1  6 Th 2.92-3.01
Se1 0.0000 0.0000 0.5000 x1  6 Th 3.11-3.16
Se2 0.0000 0.5000 0.0000 x1  6 Th 2.94-2.97

Output
Total magnetization ... 0.000 Bohr magnetons per cell
E ... -7.049 eV/atom
Crystal system ... monoclinic

***

LaMgW: optimized geometry, GGA-PBE.

Lattice parameters (Å, degrees): 7.0568 7.0568 7.0568 90.00 90.00 90.00
Closest atoms and distances in Å follow each position.
Space group F-43m (No. 216)
Inequivalent atoms, fractional coordinates:
La1 0.0000 0.0000 0.0000 x4  4 W 3.06, 4 Mg 3.06
Mg1 0.2500 0.2500 0.7500 x4  4 La 3.06
W1 0.2500 0.2500 0.2500 x4  4 La 3.06

Output
Total magnetization ... 11.995 Bohr magnetons per cell
Energy of formation ... 36.131 kcal/mol of atoms
E ... -4.925 eV/atom
E above lowest polymorph ... 3.070 eV/f.u.
Crystal system ... cubic

***

Hf2SeBrO: optimized geometry, GGA-PBE.

Lattice parameters (Å, degrees): 5.0001 5.0001 4.0627 90.00 90.00 90.00
Closest atoms and distances in Å follow each position.
Space group P4/mmm (No. 123)
Inequivalent atoms, fractional coordinates:
Hf1 0.0000 0.5000 0.0000 x2  2 Br 2.50
Se1 0.0000 0.0000 0.5000 x1  8 Hf 3.22, 4 O 3.54
Br1 0.5000 0.5000 0.0000 x1  2 O 2.03
O1 0.5000 0.5000 0.5000 x1  2 Br 2.03

Output
Total magnetization ... 0.000 Bohr magnetons per cell
E ... -5.614 eV/atom
Crystal system ... tetragonal

***

Fe2HgRh: optimized geometry, GGA-PBE.

Lattice parameters (Å, degrees): 3.8789 3.8789 3.9591 90.00 90.00 90.00
Closest atoms and distances in Å follow each position.
Space group P4/mmm (No. 123)
Inequivalent atoms, fractional coordinates:
Fe1 0.0000 0.5000 0.0000 x2  4 Fe 2.74, 4 Hg 2.77, 4 Rh 2.77
Hg1 0.0000 0.0000 0.5000 x1  4 Rh 2.74, 8 Fe 2.77
Rh1 0.5000 0.5000 0.5000 x1  4 Hg 2.74, 8 Fe 2.77

Output
Total magnetization ... 6.514 Bohr magnetons per cell
Energy of formation ... 4.763 kcal/mol of atoms
E ... -5.938 eV/atom
Crystal system ... tetragonal

***

Na4Ho3GeO8: optimized geometry, GGA-PBE.

Lattice parameters (Å, degrees): 6.7010 6.7010 16.7092 90.00 90.00 120.00
Closest atoms and distances in Å follow each position.
Space group R-3m (No. 166, hexagonal axes)
Inequivalent atoms, fractional coordinates:
Na1 0.0000 0.0000 0.0000 x3  6 O 2.58
Na2 0.0000 0.5000 0.0000 x9  6 O 2.50-2.52
Ho1 0.0000 0.5000 0.5000 x9  6 O 2.26-2.29
Ge1 0.0000 0.0000 0.5000 x3  6 O 2.20
O1 0.0000 0.0000 0.2369 x6  3 Ho 2.26, 3 Na 2.52
O2 0.0114 0.5057 0.2363 x18  1 Ge 2.20, 2 Ho 2.29

Output
Total magnetization ... 0.000 Bohr magnetons per cell
E ... -6.377 eV/atom
Crystal system ... trigonal

***

Hf3Ga3Ru: optimized geometry, GGA-PBE.

Lattice parameters (Å, degrees): 3.5455 10.3196 13.6815 90.00 90.00 90.00
Closest atoms and distances in Å follow each position.
Space group Cmcm (No. 63)
Inequivalent atoms, fractional coordinates:
Hf1 0.0000 0.0102 0.2500 x4  7 Ga 2.71-3.02
Hf2 0.0000 0.3203 0.0922 x8  6 Ga 2.84-2.89, 2 Ru 2.86
Ga1 0.0000 0.2523 0.7500 x4  2 Ga 2.49, 1 Hf 2.71
Ga2 0.0000 0.4003 0.6064 x8  1 Ga 2.49, 2 Ru 2.51
Ru1 0.0000 0.0000 0.0000 x4  4 Ga 2.51

Output
Total magnetization ... 0.000 Bohr magnetons per cell
Energy of formation ... -11.801 kcal/mol of atoms
E ... -7.400 eV/atom
Crystal system ... orthorhombic

***

Al2TlAg2: optimized geometry, GGA-PBE.

Lattice parameters (Å, degrees): 4.3621 4.3621 11.3381 90.00 90.00 90.00
Closest atoms and distances in Å follow each position.
Space group I4/mmm (No. 139)
Inequivalent atoms, fractional coordinates:
Al1 0.0000 0.0000 0.1146 x4  1 Al 2.60, 4 Ag 2.67
Tl1 0.0000 0.0000 0.5000 x2  8 Al 3.35, 8 Ag 3.58
Ag1 0.0000 0.5000 0.2500 x4  4 Al 2.67

Output
Total magnetization ... 0.000 Bohr magnetons per cell
Energy of formation ... 3.245 kcal/mol of atoms
E ... -2.970 eV/atom
E above lowest polymorph ... 0.371 eV/f.u.
Crystal system ... tetragonal